# 1
Here is crystalline Cs3DyEr2S6 at its relaxed geometry from the Alexandria database. Energies are from GGA-PBE.

Computed properties:
For the uncorrected formation energy, the calculation gives -1.831 eV per atom.

CIF file:
```
data_Cs3DyEr2S6
_chemical_formula_sum 'Cs3 Dy1 Er2 S6'
_space_group_name_H-M_alt 'P 1'
_space_group_IT_number 1
_space_group_name_Hall 'P 1'
_cell_length_a 7.072
_cell_length_b 7.072
_cell_length_c 8.396
_cell_angle_alpha 98.07
_cell_angle_beta 98.07
_cell_angle_gamma 120.00
loop_
_atom_site_label
_atom_site_fract_x
_atom_site_fract_y
_atom_site_fract_z
_atom_site_occupancy
S1 0.060 0.396 0.181 1
Cs1 0.500 0.500 0.500 1
Cs2 0.166 0.834 0.500 1
S2 0.725 0.725 0.181 1
S3 0.604 0.940 0.819 1
S4 0.940 0.604 0.819 1
Dy1 0.000 0.000 0.000 1
Cs3 0.834 0.166 0.500 1
Er1 0.333 0.667 0.000 1
Er2 0.667 0.333 0.000 1
S5 0.396 0.060 0.181 1
S6 0.275 0.275 0.819 1
```

# 2
Here is crystalline MgZnSe2 at its relaxed geometry from the Alexandria database. Energies are from GGA-PBE.

Computed properties:
For the uncorrected formation energy, the calculation gives -0.289 eV per atom.

CIF file:
```
data_MgZnSe2
_chemical_formula_sum 'Mg1 Zn1 Se2'
_space_group_name_H-M_alt 'P 1'
_space_group_IT_number 1
_space_group_name_Hall 'P 1'
_cell_length_a 4.838
_cell_length_b 4.838
_cell_length_c 3.348
_cell_angle_alpha 90.00
_cell_angle_beta 90.00
_cell_angle_gamma 90.04
loop_
_atom_site_label
_atom_site_fract_x
_atom_site_fract_y
_atom_site_fract_z
_atom_site_occupancy
Zn1 0.500 0.000 0.500 1
Mg1 0.000 0.500 0.500 1
Se1 0.000 0.000 0.000 1
Se2 0.500 0.500 0.000 1
```

# 3
Here is crystalline PrGeBi at its relaxed geometry from the Alexandria database. Energies are from GGA-PBE.

Computed properties:
The relative energy among the computed polymorphs is 0 meV/atom. The calculation puts the formation energy at -666 meV per atom.

CIF file:
```
data_PrGeBi
_chemical_formula_sum 'Pr2 Ge2 Bi2'
_space_group_name_H-M_alt 'P 1'
_space_group_IT_number 1
_space_group_name_Hall 'P 1'
_cell_length_a 4.226
_cell_length_b 4.579
_cell_length_c 8.969
_cell_angle_alpha 104.79
_cell_angle_beta 90.00
_cell_angle_gamma 90.00
loop_
_atom_site_label
_atom_site_fract_x
_atom_site_fract_y
_atom_site_fract_z
_atom_site_occupancy
Ge1 0.750 0.547 0.095 1
Pr1 0.250 0.096 0.191 1
Pr2 0.750 0.904 0.809 1
Bi1 0.750 0.252 0.505 1
Ge2 0.250 0.453 0.905 1
Bi2 0.250 0.748 0.495 1
```

# 4
Here is crystalline AcSm3Ge2 at its relaxed geometry from the Alexandria database. Energies are from GGA-PBE.

Computed properties:
The calculation puts the formation energy at -537 meV per atom.

CIF file:
```
data_AcSm3Ge2
_chemical_formula_sum 'Ac2 Sm6 Ge4'
_space_group_name_H-M_alt 'P 1'
_space_group_IT_number 1
_space_group_name_Hall 'P 1'
_cell_length_a 4.530
_cell_length_b 10.442
_cell_length_c 9.514
_cell_angle_alpha 125.12
_cell_angle_beta 90.00
_cell_angle_gamma 102.53
loop_
_atom_site_label
_atom_site_fract_x
_atom_site_fract_y
_atom_site_fract_z
_atom_site_occupancy
Sm1 0.351 0.701 0.180 1
Sm2 0.692 0.384 0.502 1
Ge1 0.513 0.025 0.161 1
Sm3 0.051 0.102 0.408 1
Ac1 0.117 0.234 0.095 1
Sm4 0.308 0.616 0.498 1
Ge2 0.232 0.463 0.762 1
Sm5 0.649 0.299 0.820 1
Sm6 0.949 0.898 0.592 1
Ac2 0.883 0.766 0.905 1
Ge3 0.487 0.975 0.839 1
Ge4 0.768 0.537 0.238 1
```

# 5
Here is crystalline KTl2I2 at its relaxed geometry from the Alexandria database. Energies are from GGA-PBE.

Computed properties:
The relative energy among the computed polymorphs is 0 meV/atom. For the uncorrected formation energy, the calculation gives -0.720 eV per atom.

CIF file:
```
data_KTl2I2
_chemical_formula_sum 'K1 Tl2 I2'
_space_group_name_H-M_alt 'P 1'
_space_group_IT_number 1
_space_group_name_Hall 'P 1'
_cell_length_a 4.566
_cell_length_b 4.566
_cell_length_c 10.339
_cell_angle_alpha 77.24
_cell_angle_beta 77.24
_cell_angle_gamma 90.00
loop_
_atom_site_label
_atom_site_fract_x
_atom_site_fract_y
_atom_site_fract_z
_atom_site_occupancy
Tl1 0.750 0.250 0.500 1
K1 0.000 0.000 0.000 1
I1 0.397 0.397 0.205 1
I2 0.603 0.603 0.795 1
Tl2 0.250 0.750 0.500 1
```

# 6
Here is crystalline NdThSn at its relaxed geometry from the Alexandria database. Energies are from GGA-PBE.

Computed properties:
The relative energy among the computed polymorphs is 493 meV/atom. The calculation puts the formation energy at -41 meV per atom.

CIF file:
```
data_NdThSn
_chemical_formula_sum 'Nd4 Th4 Sn4'
_space_group_name_H-M_alt 'P 1'
_space_group_IT_number 1
_space_group_name_Hall 'P 1'
_cell_length_a 6.079
_cell_length_b 8.728
_cell_length_c 8.728
_cell_angle_alpha 83.03
_cell_angle_beta 69.62
_cell_angle_gamma 69.62
loop_
_atom_site_label
_atom_site_fract_x
_atom_site_fract_y
_atom_site_fract_z
_atom_site_occupancy
Nd1 0.500 0.761 0.239 1
Nd2 0.739 0.761 0.761 1
Sn1 0.000 0.379 0.621 1
Th1 0.175 0.000 0.650 1
Th2 0.825 0.000 0.350 1
Th3 0.175 0.650 0.000 1
Sn2 0.379 0.621 0.621 1
Sn3 0.621 0.379 0.379 1
Nd3 0.500 0.239 0.761 1
Nd4 0.261 0.239 0.239 1
Th4 0.825 0.350 0.000 1
Sn4 0.000 0.621 0.379 1
```

# 7
Here is crystalline InPbIBr2 at its relaxed geometry from the Alexandria database. Energies are from GGA-PBE.

Computed properties:
For the uncorrected formation energy, the calculation gives -0.610 eV per atom.

CIF file:
```
data_InPbIBr2
_chemical_formula_sum 'In1 Pb1 I1 Br2'
_space_group_name_H-M_alt 'P 1'
_space_group_IT_number 1
_space_group_name_Hall 'P 1'
_cell_length_a 5.899
_cell_length_b 5.899
_cell_length_c 6.381
_cell_angle_alpha 90.00
_cell_angle_beta 90.00
_cell_angle_gamma 90.00
loop_
_atom_site_label
_atom_site_fract_x
_atom_site_fract_y
_atom_site_fract_z
_atom_site_occupancy
Pb1 0.000 0.000 0.000 1
Br1 0.500 0.000 0.000 1
Br2 0.000 0.500 0.000 1
I1 0.000 0.000 0.500 1
In1 0.500 0.500 0.500 1
```

# 8
Here is crystalline MnAs2PBr at its relaxed geometry from the Alexandria database. Energies are from GGA-PBE.

Computed properties:
The relative energy among the computed polymorphs is 0 meV/atom. For the uncorrected formation energy, the calculation gives 0.722 eV per atom.

CIF file:
```
data_MnAs2PBr
_chemical_formula_sum 'Mn1 As2 P1 Br1'
_space_group_name_H-M_alt 'P 1'
_space_group_IT_number 1
_space_group_name_Hall 'P 1'
_cell_length_a 4.478
_cell_length_b 4.478
_cell_length_c 5.211
_cell_angle_alpha 90.00
_cell_angle_beta 90.00
_cell_angle_gamma 90.00
loop_
_atom_site_label
_atom_site_fract_x
_atom_site_fract_y
_atom_site_fract_z
_atom_site_occupancy
P1 0.500 0.500 0.500 1
As1 0.000 0.500 0.000 1
Br1 0.000 0.000 0.500 1
Mn1 0.000 0.000 0.000 1
As2 0.500 0.000 0.000 1
```

Number 1: energy -63.03 eV per cell. Number 2: energy -10.99 eV per cell. Number 3: energy -30.55 eV per cell. Number 4: energy -61.44 eV per cell. Number 5: energy -12.53 eV per cell. Number 6: energy -65.25 eV per cell. Number 7: energy -14.39 eV per cell. Number 8: energy -21.94 eV per cell.